(1)
The following is a DFT calculation (GGA-PBEsol) of crystalline ScTc2AgRu at its relaxed geometry.

Unit cell a=4.497 b=4.497 c=4.505 alpha=90.00 beta=90.00 gamma=90.00
Space group P4/mmm (No. 123)
Unique sites:
Sc  0.000  0.000  0.000 (multiplicity 1)
Tc  0.000  0.500  0.000 (multiplicity 2)
Ag  0.500  0.500  0.500 (multiplicity 1)
Ru  0.000  0.000  0.500 (multiplicity 1)

- ΔH_f (0 K): 1.890 eV/atom
- Total DFT energy (no corrections): -6.63 eV per atom
- Total magnetic moment: 1.95 μB/f.u.



(2)
The following is a DFT calculation (GGA-PBEsol) of crystalline Te4MoW at its relaxed geometry.

Unit cell a=3.4929 b=3.4929 c=13.9668 alpha=90.00 beta=90.00 gamma=120.00
Space group P-6m2 (No. 187)
Unique sites:
Te  0.0000  0.0000  0.1293 (multiplicity 2)
Te  0.6667  0.3333  0.3700 (multiplicity 2)
Mo  0.6667  0.3333  0.0000 (multiplicity 1)
W  0.0000  0.0000  0.5000 (multiplicity 1)

- Total DFT energy (no corrections): -6.80 eV per atom
- Total magnetic moment: 0.00 μB/f.u.



(3)
The following is a DFT calculation (GGA-PBEsol) of crystalline ZrSi2Pt at its relaxed geometry.

Unit cell a=3.730 b=3.730 c=8.949 alpha=90.00 beta=90.00 gamma=90.00
Space group I-4m2 (No. 119)
Unique sites:
Zr  0.000  0.000  0.000 (multiplicity 2)
Si  0.000  0.000  0.500 (multiplicity 2)
Si  0.000  0.500  0.750 (multiplicity 2)
Pt  0.000  0.500  0.250 (multiplicity 2)

- Total DFT energy (no corrections): -7.58 eV per atom
- Total magnetic moment: 0.00 μB/f.u.



(4)
The following is a DFT calculation (GGA-PBEsol) of crystalline InCuAsBr2 at its relaxed geometry.

Unit cell a=5.147 b=5.147 c=4.648 alpha=90.00 beta=90.00 gamma=90.00
Space group P4/mmm (No. 123)
Unique sites:
In  0.000  0.000  0.000 (multiplicity 1)
Cu  0.500  0.500  0.500 (multiplicity 1)
As  0.500  0.500  0.000 (multiplicity 1)
Br  0.000  0.500  0.500 (multiplicity 2)

- Total DFT energy (no corrections): -3.15 eV per atom
- Total magnetic moment: 1.30 μB/f.u.



Calculated volume values, unit Å³ per atom, following the record order: 18.2, 24.6, 15.6, 24.6.